No. 1
The following is a DFT calculation (PBE-GGA) of a relaxed PuCd2O5 crystal.

Unit cell a=6.1168 b=6.1168 c=11.0638 alpha=90.00 beta=90.00 gamma=140.35
Positions (direct):
Pu 0.1652 0.8348 0.7500
Pu 0.8348 0.1652 0.2500
Cd 0.1418 0.8582 0.0608
Cd 0.1418 0.8582 0.4392
Cd 0.8582 0.1418 0.5608
Cd 0.8582 0.1418 0.9392
O 0.0420 0.9580 0.6226
O 0.0420 0.9580 0.8774
O 0.2888 0.7112 0.6044
O 0.2888 0.7112 0.8956
O 0.3184 0.6816 0.2500
O 0.6816 0.3184 0.7500
O 0.7112 0.2888 0.1044
O 0.7112 0.2888 0.3956
O 0.9580 0.0420 0.1226
O 0.9580 0.0420 0.3774

Values from the calculation:
Formation energy from raw total energies ... -1742 meV per atom
Total energy ... -6.861 eV per atom
D(E_F) ... 0.388 states/eV per atom
Spin magnetization ... 4.00 μB/cell



No. 2
The following is a DFT calculation (PBE-GGA) of a relaxed Tb3CS2 crystal.

Unit cell a=3.7639 b=5.4432 c=11.7704 alpha=90.00 beta=90.00 gamma=90.00
Positions (direct):
Tb 0.0000 0.0000 0.0000
Tb 0.0000 0.0000 0.3576
Tb 0.0000 0.0000 0.6424
Tb 0.5000 0.5000 0.1424
Tb 0.5000 0.5000 0.5000
Tb 0.5000 0.5000 0.8576
C 0.0000 0.5000 0.0000
C 0.5000 0.0000 0.5000
S 0.0000 0.5000 0.3276
S 0.0000 0.5000 0.6724
S 0.5000 0.0000 0.1724
S 0.5000 0.0000 0.8276

Values from the calculation:
Formation energy from raw total energies ... -1534 meV per atom
Total energy ... -6.762 eV per atom
D(E_F) ... 0.246 states/eV per atom
Spin magnetization ... 0.00 μB/cell



No. 3
The following is a DFT calculation (PBE-GGA) of a relaxed Cr3ReOs crystal.

Unit cell a=4.5634 b=4.5634 c=4.5634 alpha=90.00 beta=90.00 gamma=90.00
Positions (direct):
Cr 0.0000 0.0000 0.5000
Cr 0.0000 0.5000 0.0000
Cr 0.5000 0.0000 0.0000
Re 0.5000 0.5000 0.5000
Os 0.0000 0.0000 0.0000

Values from the calculation:
Formation energy ... 1.8514 eV per atom
Total energy ... -8.658 eV per atom
D(E_F) ... 1.624 states/eV per atom
Spin magnetization ... 5.46 μB/cell



No. 4
The following is a DFT calculation (PBE-GGA) of a relaxed Na3CrIn3Cl8 crystal.

Unit cell a=8.1452 b=8.1452 c=8.8085 alpha=117.60 beta=117.60 gamma=59.95
Positions (direct):
Na 0.0000 0.0000 0.0000
Na 0.0000 0.5000 0.0000
Na 0.5000 0.0000 0.0000
Cr 0.5000 0.5000 0.0000
In 0.0000 0.5000 0.5000
In 0.5000 0.0000 0.5000
In 0.5000 0.5000 0.5000
Cl 0.2366 0.2366 0.2093
Cl 0.2672 0.7131 0.1931
Cl 0.2869 0.2869 0.8068
Cl 0.2869 0.7328 0.8069
Cl 0.7131 0.2672 0.1931
Cl 0.7131 0.7131 0.1932
Cl 0.7328 0.2869 0.8069
Cl 0.7634 0.7634 0.7907

Values from the calculation:
Formation energy from raw total energies ... -1206 meV per atom
Total energy ... -3.644 eV per atom
D(E_F) ... 0.424 states/eV per atom
Spin magnetization ... 4.00 μB/cell



No. 5
The following is a DFT calculation (PBE-GGA) of a relaxed NaLiInBi crystal.

Unit cell a=7.3963 b=7.3963 c=7.3963 alpha=90.00 beta=90.00 gamma=90.00
Positions (direct):
Na 0.0000 0.0000 0.0000
Na 0.0000 0.5000 0.5000
Na 0.5000 0.0000 0.5000
Na 0.5000 0.5000 0.0000
Li 0.0000 0.0000 0.5000
Li 0.0000 0.5000 0.0000
Li 0.5000 0.0000 0.0000
Li 0.5000 0.5000 0.5000
In 0.2500 0.2500 0.7500
In 0.2500 0.7500 0.2500
In 0.7500 0.2500 0.2500
In 0.7500 0.7500 0.7500
Bi 0.2500 0.2500 0.2500
Bi 0.2500 0.7500 0.7500
Bi 0.7500 0.2500 0.7500
Bi 0.7500 0.7500 0.2500

Values from the calculation:
Formation energy ... -0.2756 eV per atom
Total energy ... -2.739 eV per atom
D(E_F) ... 0.085 states/eV per atom
Spin magnetization ... 0.00 μB/cell



No. 6
The following is a DFT calculation (PBE-GGA) of a relaxed UI4 crystal.

Unit cell a=6.0871 b=6.0871 c=6.0871 alpha=90.00 beta=90.00 gamma=90.00
Positions (direct):
U 0.0000 0.0000 0.0000
I 0.0000 0.0000 0.5000
I 0.0000 0.5000 0.0000
I 0.5000 0.0000 0.0000
I 0.5000 0.5000 0.5000

Values from the calculation:
Formation energy from raw total energies ... -417 meV per atom
Total energy ... -3.914 eV per atom
D(E_F) ... 2.820 states/eV per atom
Spin magnetization ... 2.96 μB/cell



No. 7
The following is a DFT calculation (PBE-GGA) of a relaxed AcCrS2 crystal.

Unit cell a=4.2131 b=4.2131 c=17.9631 alpha=90.00 beta=90.00 gamma=120.00
Positions (direct):
Ac 0.0000 0.0000 0.0000
Ac 0.3333 0.6667 0.6667
Ac 0.6667 0.3333 0.3333
Cr 0.0000 0.0000 0.5000
Cr 0.3333 0.6667 0.1667
Cr 0.6667 0.3333 0.8333
S 0.0000 0.0000 0.2368
S 0.0000 0.0000 0.7632
S 0.3333 0.6667 0.4299
S 0.3333 0.6667 0.9034
S 0.6667 0.3333 0.0966
S 0.6667 0.3333 0.5701

Values from the calculation:
Formation energy from raw total energies ... -1119 meV per atom
Total energy ... -6.616 eV per atom
D(E_F) ... 1.050 states/eV per atom
Spin magnetization ... 13.28 μB/cell